# LaErB (PBE-GGA, relaxed)
# energy above the most stable polymorph in this dataset: 0.000 eV/atom
data_LaErB
_space_group_name_H-M_alt 'F -4 3 m'
_space_group_IT_number 216
_space_group_name_Hall 'F -4 2 3'
_cell_length_a 6.544
_cell_length_b 6.544
_cell_length_c 6.544
_cell_angle_alpha 90.00
_cell_angle_beta 90.00
_cell_angle_gamma 90.00
loop_
_atom_site_label
_atom_site_fract_x
_atom_site_fract_y
_atom_site_fract_z
La1 0.000 0.000 0.000
Er1 0.000 0.000 0.500
B1 0.250 0.250 0.750

---

# LaErB4 (PBE-GGA, relaxed)
# energy above the most stable polymorph in this dataset: 0.079 eV/atom
data_LaErB4
_space_group_name_H-M_alt 'I m m m'
_space_group_IT_number 71
_space_group_name_Hall '-I 2 2'
_cell_length_a 3.293
_cell_length_b 5.727
_cell_length_c 8.155
_cell_angle_alpha 90.00
_cell_angle_beta 90.00
_cell_angle_gamma 90.00
loop_
_atom_site_label
_atom_site_fract_x
_atom_site_fract_y
_atom_site_fract_z
La1 0.000 0.000 0.000
Er1 0.000 0.000 0.500
B1 0.000 0.334 0.247

---

# Er4Lu4B3 (PBE-GGA, relaxed)
# E_tot: -5.051 eV per atom
data_Er4Lu4B3
_space_group_name_H-M_alt 'P -1'
_space_group_IT_number 2
_cell_length_a 3.483
_cell_length_b 4.811
_cell_length_c 14.993
_cell_angle_alpha 82.54
_cell_angle_beta 83.38
_cell_angle_gamma 89.99
loop_
_space_group_symop_operation_xyz
'x,y,z'
'-x,-y,-z'
loop_
_atom_site_label
_atom_site_fract_x
_atom_site_fract_y
_atom_site_fract_z
Er1 0.039 0.329 0.421
Er2 0.292 0.011 0.916
Lu1 0.156 0.437 0.188
Lu2 0.411 0.097 0.678
B1 0.248 0.481 0.004
B2 0.500 0.000 0.500

---

# ErLuB (PBE-GGA, relaxed)
# energy above the most stable polymorph in this dataset: 0.000 eV/atom
data_ErLuB
_space_group_name_H-M_alt 'F -4 3 m'
_space_group_IT_number 216
_space_group_name_Hall 'F -4 2 3'
_cell_length_a 6.294
_cell_length_b 6.294
_cell_length_c 6.294
_cell_angle_alpha 90.00
_cell_angle_beta 90.00
_cell_angle_gamma 90.00
loop_
_atom_site_label
_atom_site_fract_x
_atom_site_fract_y
_atom_site_fract_z
Er1 0.000 0.000 0.000
Lu1 0.000 0.000 0.500
B1 0.250 0.250 0.250

---

# Er3LuB2Pb2 (PBE-GGA, relaxed)
# E_tot: -5.098 eV per atom
data_Er3LuB2Pb2
_space_group_name_H-M_alt 'P 3 m 1'
_space_group_IT_number 156
_cell_length_a 3.6504
_cell_length_b 3.6504
_cell_length_c 16.4968
_cell_angle_alpha 90.00
_cell_angle_beta 90.00
_cell_angle_gamma 120.00
loop_
_space_group_symop_operation_xyz
'x,y,z'
'-y,x-y,z'
'-x+y,-x,z'
'-y,-x,z'
'-x+y,y,z'
'x,x-y,z'
loop_
_atom_site_label
_atom_site_fract_x
_atom_site_fract_y
_atom_site_fract_z
Er1 0.0000 0.0000 0.0000
Er2 0.0000 0.0000 0.3235
Er3 0.3333 0.6667 0.5025
Lu1 0.3333 0.6667 0.8247
B1 0.6667 0.3333 0.4130
B2 0.6667 0.3333 0.9112
Pb1 0.0000 0.0000 0.6646
Pb2 0.3333 0.6667 0.1620

---

# ErLuBPb (PBE-GGA, relaxed)
# E_tot: -5.098 eV per atom
data_ErLuBPb
_space_group_name_H-M_alt 'P -3 m 1'
_space_group_IT_number 164
_space_group_name_Hall '-P 3 2"'
_cell_length_a 3.6379
_cell_length_b 3.6379
_cell_length_c 16.4444
_cell_angle_alpha 90.00
_cell_angle_beta 90.00
_cell_angle_gamma 120.00
loop_
_atom_site_label
_atom_site_fract_x
_atom_site_fract_y
_atom_site_fract_z
Er1 0.3333 0.6667 0.0903
Lu1 0.3333 0.6667 0.4135
B1 0.0000 0.0000 0.0000
B2 0.0000 0.0000 0.5000
Pb1 0.3333 0.6667 0.7474

---

# ErLuBPb (PBE-GGA, relaxed)
# E_tot: -5.097 eV per atom
data_ErLuBPb
_space_group_name_H-M_alt 'P -6 m 2'
_space_group_IT_number 187
_space_group_name_Hall 'P -6 2'
_cell_length_a 3.6376
_cell_length_b 3.6376
_cell_length_c 16.4156
_cell_angle_alpha 90.00
_cell_angle_beta 90.00
_cell_angle_gamma 120.00
loop_
_atom_site_label
_atom_site_fract_x
_atom_site_fract_y
_atom_site_fract_z
Er1 0.0000 0.0000 0.1625
Lu1 0.3333 0.6667 0.3390
B1 0.6667 0.3333 0.2520
Pb1 0.0000 0.0000 0.5000
Pb2 0.3333 0.6667 0.0000

---

# Er3LuSn2B2 (PBE-GGA, relaxed)
# E_tot: -5.220 eV per atom
data_Er3LuSn2B2
_space_group_name_H-M_alt 'P 3 m 1'
_space_group_IT_number 156
_cell_length_a 3.6080
_cell_length_b 3.6080
_cell_length_c 16.2834
_cell_angle_alpha 90.00
_cell_angle_beta 90.00
_cell_angle_gamma 120.00
loop_
_space_group_symop_operation_xyz
'x,y,z'
'-y,x-y,z'
'-x+y,-x,z'
'-y,-x,z'
'-x+y,y,z'
'x,x-y,z'
loop_
_atom_site_label
_atom_site_fract_x
_atom_site_fract_y
_atom_site_fract_z
Er1 0.0000 0.0000 0.0000
Er2 0.0000 0.0000 0.3164
Er3 0.3333 0.6667 0.5026
Lu1 0.3333 0.6667 0.8172
Sn1 0.0000 0.0000 0.6611
Sn2 0.3333 0.6667 0.1584
B1 0.6667 0.3333 0.4095
B2 0.6667 0.3333 0.9075

---

# ErMgB (PBE-GGA, relaxed)
# energy above the most stable polymorph in this dataset: 0.889 eV/atom
data_ErMgB
_space_group_name_H-M_alt 'F -4 3 m'
_space_group_IT_number 216
_space_group_name_Hall 'F -4 2 3'
_cell_length_a 6.075
_cell_length_b 6.075
_cell_length_c 6.075
_cell_angle_alpha 90.00
_cell_angle_beta 90.00
_cell_angle_gamma 90.00
loop_
_atom_site_label
_atom_site_fract_x
_atom_site_fract_y
_atom_site_fract_z
Er1 0.000 0.000 0.000
Mg1 0.250 0.250 0.750
B1 0.000 0.000 0.500

---

# ErMgB (PBE-GGA, relaxed)
# energy above the most stable polymorph in this dataset: 0.000 eV/atom
data_ErMgB
_space_group_name_H-M_alt 'F -4 3 m'
_space_group_IT_number 216
_space_group_name_Hall 'F -4 2 3'
_cell_length_a 6.046
_cell_length_b 6.046
_cell_length_c 6.046
_cell_angle_alpha 90.00
_cell_angle_beta 90.00
_cell_angle_gamma 90.00
loop_
_atom_site_label
_atom_site_fract_x
_atom_site_fract_y
_atom_site_fract_z
Er1 0.000 0.000 0.000
Mg1 0.000 0.000 0.500
B1 0.250 0.250 0.250

---

# ErB4Mo (PBE-GGA, relaxed)
# energy above the most stable polymorph in this dataset: 0.000 eV/atom
data_ErB4Mo
_space_group_name_H-M_alt 'P b a m'
_space_group_IT_number 55
_cell_length_a 6.004
_cell_length_b 11.596
_cell_length_c 3.602
_cell_angle_alpha 90.00
_cell_angle_beta 90.00
_cell_angle_gamma 90.00
loop_
_space_group_symop_operation_xyz
'x,y,z'
'-x,-y,-z'
'-x,-y,z'
'x,y,-z'
'x+1/2,-y+1/2,-z'
'-x+1/2,y+1/2,z'
'-x+1/2,y+1/2,-z'
'x+1/2,-y+1/2,z'
loop_
_atom_site_label
_atom_site_fract_x
_atom_site_fract_y
_atom_site_fract_z
Er1 0.127 0.150 0.000
B1 0.024 0.694 0.500
B2 0.115 0.548 0.500
B3 0.133 0.968 0.500
B4 0.212 0.813 0.500
Mo1 0.130 0.416 0.000

---

# ErBMo (PBE-GGA, relaxed)
# energy above the most stable polymorph in this dataset: 0.000 eV/atom
data_ErBMo
_space_group_name_H-M_alt 'F -4 3 m'
_space_group_IT_number 216
_space_group_name_Hall 'F -4 2 3'
_cell_length_a 5.828
_cell_length_b 5.828
_cell_length_c 5.828
_cell_angle_alpha 90.00
_cell_angle_beta 90.00
_cell_angle_gamma 90.00
loop_
_atom_site_label
_atom_site_fract_x
_atom_site_fract_y
_atom_site_fract_z
Er1 0.000 0.000 0.000
B1 0.250 0.250 0.250
Mo1 0.000 0.000 0.500